1.
The following is a PBE-GGA calculation of an optimized crystal structure of Ac2LuO, from Alexandria.

Values from the calculation:
Its magnetization is 0.0 Bohr magnetons per cell. The total DFT energy (no corrections) comes out at -64.095 eV/cell. The value obtained for the uncorrected formation energy is -0.9172 eV per atom.

Geometry as POSCAR:
```
Ac2LuO
1.0
3.7776 0.0000 0.0000
-1.8888 3.2715 0.0000
0.0000 0.0000 30.0627
Ac Lu O
6 3 3
Cartesian
0.0000 0.0000 3.4914
0.0000 0.0000 26.5713
0.0000 2.1810 16.5504
0.0000 2.1810 23.5332
1.8888 1.0905 6.5295
1.8888 1.0905 13.5123
0.0000 0.0000 0.0000
0.0000 2.1810 20.0418
1.8888 1.0905 10.0209
0.0000 0.0000 15.0313
0.0000 2.1810 5.0105
1.8888 1.0905 25.0522
```

2.
The following is a PBE-GGA calculation of an optimized crystal structure of Sc3CrAg, from Alexandria.

Values from the calculation:
Its magnetization is 1.3 Bohr magnetons per cell. The calculation puts the energy above the most stable polymorph in this dataset at 0 meV/atom. The total DFT energy (no corrections) comes out at -29.507 eV/cell. For the formation energy, the calculation gives 0.393 eV/atom.

Geometry as POSCAR:
```
Sc3CrAg
1.0
4.8635 0.0000 0.0000
0.0000 4.8635 0.0000
0.0000 0.0000 4.8635
Sc Cr Ag
3 1 1
Cartesian
0.0000 0.0000 2.4317
0.0000 2.4317 0.0000
2.4317 0.0000 0.0000
0.0000 0.0000 0.0000
2.4317 2.4317 2.4317
```

3.
The following is a PBE-GGA calculation of an optimized crystal structure of Si2RhAu2, from Alexandria.

Values from the calculation:
Its magnetization is 0.0 Bohr magnetons per cell. The total DFT energy (no corrections) comes out at -50.578 eV/cell. The value obtained for the uncorrected formation energy is -0.1073 eV per atom.

Geometry as POSCAR:
```
Si2RhAu2
1.0
6.1827 0.0000 0.0000
0.0000 6.1827 0.0000
0.0000 0.0000 4.3699
Si Rh Au
4 2 4
Cartesian
0.8112 2.2802 0.0000
2.2802 5.3715 0.0000
3.9026 0.8112 0.0000
5.3715 3.9026 0.0000
0.0000 0.0000 0.0000
3.0914 3.0914 0.0000
1.4689 4.5603 2.1850
1.6225 1.4689 2.1850
4.5603 4.7138 2.1850
4.7138 1.6225 2.1850
```

4.
The following is a PBE-GGA calculation of an optimized crystal structure of RbMnI2N, from Alexandria.

Values from the calculation:
Its magnetization is 3.0 Bohr magnetons per cell. The calculation puts the energy above the most stable polymorph in this dataset at 0 meV/atom. The total DFT energy (no corrections) comes out at -23.009 eV/cell. The value obtained for the uncorrected formation energy is -0.2893 eV per atom.

Geometry as POSCAR:
```
RbMnI2N
1.0
6.1033 0.0000 0.0000
0.0000 6.1033 0.0000
0.0000 0.0000 3.7358
Rb Mn I N
1 1 2 1
Cartesian
0.0000 0.0000 0.0000
3.0516 3.0516 1.8679
0.0000 3.0516 1.8679
3.0516 0.0000 1.8679
3.0516 3.0516 0.0000
```

5.
The following is a PBE-GGA calculation of an optimized crystal structure of LiHBr, from Alexandria.

Values from the calculation:
Its magnetization is 0.0 Bohr magnetons per cell. The calculation puts the energy above the most stable polymorph in this dataset at 0 meV/atom. The total DFT energy (no corrections) comes out at -20.027 eV/cell.

Geometry as POSCAR:
```
LiHBr
1.0
4.3068 0.0000 0.0000
-2.1362 3.7401 0.0000
-1.9197 -1.3364 8.3070
Li H Br
2 2 2
Cartesian
0.0105 1.2447 1.0914
0.2405 1.1590 7.2156
-0.0888 0.8925 4.1647
0.3397 1.5112 4.1423
-1.9137 -0.0913 6.7703
2.1646 2.4950 1.5367
```

6.
The following is a PBE-GGA calculation of an optimized crystal structure of PmGePRh2, from Alexandria.

Values from the calculation:
Its magnetization is 0.0 Bohr magnetons per cell. The total DFT energy (no corrections) comes out at -33.056 eV/cell. For the formation energy, the calculation gives -0.715 eV/atom.

Geometry as POSCAR:
```
PmGePRh2
1.0
4.0550 0.0000 0.0000
0.0000 4.0550 0.0000
0.0000 0.0000 6.4907
Pm Ge P Rh
1 1 1 2
Cartesian
0.0000 0.0000 0.0000
2.0275 2.0275 1.1113
0.0000 0.0000 3.7106
0.0000 2.0275 2.6009
2.0275 0.0000 2.6009
```